(1)
## Rb2LaHg2Se4 (PBE)

Data for a geometry-optimized Rb2LaHg2Se4 structure.

The structure in POSCAR format:
```
Rb2LaHg2Se4
1.0
8.423 -2.185 0.000
8.423 2.185 0.000
-3.324 0.000 7.954
Rb La Hg Se
2 1 2 4
Direct
0.127 0.127 0.067
0.873 0.873 0.933
0.000 0.000 0.500
0.311 0.311 0.482
0.689 0.689 0.518
0.191 0.191 0.724
0.475 0.475 0.724
0.525 0.525 0.276
0.809 0.809 0.276
```

Calculated values
E_tot: -30.5 eV per cell
space group: C2/m
raw formation energy: -1.013 eV per atom

(2)
## RbLaHgSe3 (PBE)

Data for a geometry-optimized RbLaHgSe3 structure.

The structure in POSCAR format:
```
RbLaHgSe3
1.0
9.313 0.000 0.000
0.000 4.450 0.000
-2.943 0.000 10.089
Rb La Hg Se
2 2 2 6
Direct
0.213 0.250 0.240
0.787 0.750 0.760
0.326 0.750 0.858
0.674 0.250 0.142
0.092 0.250 0.615
0.908 0.750 0.385
0.103 0.250 0.868
0.219 0.750 0.538
0.461 0.750 0.150
0.539 0.250 0.850
0.781 0.250 0.462
0.897 0.750 0.132
```

Calculated values
E_tot: -48.4 eV per cell
space group: P2_1/m
raw formation energy: -1.254 eV per atom

(3)
## RbSrLaHg2 (PBE)

Data for a geometry-optimized RbSrLaHg2 structure.

The structure in POSCAR format:
```
RbSrLaHg2
1.0
5.972 0.000 0.000
0.000 5.972 0.000
0.000 0.000 5.870
Rb Sr La Hg
1 1 1 2
Direct
0.000 0.000 0.000
0.500 0.500 0.500
0.000 0.000 0.500
0.000 0.500 0.000
0.500 0.000 0.000
```

Calculated values
E_tot: -5.3 eV per cell
space group: P4/mmm
formation energy: 0.575 eV per atom